Here is crystalline TiZn2In at its relaxed geometry from Alexandria. Energies are from PBE-GGA.

a = 4.072 Å, b = 4.078 Å, c = 4.078 Å
α = 90.00°, β = 90.00°, γ = 90.00°
Fractional coordinates of all 4 atoms:
Ti: 0.500 0.000 0.000
In: 0.500 0.500 0.500
Zn: 0.000 0.500 0.000
Zn: 0.000 0.000 0.500

Summary:
The space-group type is P4/mmm. The calculation puts the formation energy at -168 meV/atom.

Here is crystalline Ti2Zn2In at its relaxed geometry from Alexandria. Energies are from PBE-GGA.

a = 4.052 Å, b = 4.052 Å, c = 6.386 Å
α = 71.50°, β = 71.50°, γ = 90.00°
Fractional coordinates of all 5 atoms:
Zn: 0.398 0.398 0.205
Zn: 0.602 0.602 0.795
Ti: 0.750 0.250 0.500
Ti: 0.250 0.750 0.500
In: 0.000 0.000 0.000

Summary:
The space-group type is I4/mmm. The calculation puts the formation energy at 173 meV/atom.

Here is crystalline Ti2ZnIn2 at its relaxed geometry from Alexandria. Energies are from PBE-GGA.

a = 6.939 Å, b = 6.939 Å, c = 4.094 Å
α = 90.00°, β = 90.00°, γ = 90.00°
Fractional coordinates of all 10 atoms:
Ti: 0.837 0.337 0.500
Ti: 0.163 0.663 0.500
Ti: 0.663 0.837 0.500
Ti: 0.337 0.163 0.500
In: 0.358 0.858 0.000
In: 0.858 0.642 0.000
In: 0.142 0.358 0.000
In: 0.642 0.142 0.000
Zn: 0.500 0.500 0.000
Zn: 0.000 0.000 0.000

Summary:
The space-group type is P4/mbm. The calculation puts the formation energy at 116 meV/atom.

Here is crystalline Ti2ZnIn at its relaxed geometry from Alexandria. Energies are from PBE-GGA.

a = 2.908 Å, b = 2.908 Å, c = 8.220 Å
α = 90.00°, β = 90.00°, γ = 90.00°
Fractional coordinates of all 4 atoms:
In: 0.500 0.500 0.500
Ti: 0.000 0.000 0.773
Ti: 0.000 0.000 0.227
Zn: 0.500 0.500 0.000

Summary:
The space-group type is P4/mmm. The calculation puts the formation energy at -159 meV/atom.

Listing total DFT energy (no corrections) for the structures above in their given order: -13.9, -20.2, -43.9, -20.4 eV for the cell shown.
Listing volume for the structures above in their given order: 16.933, 18.741, 19.713, 17.381 A^3/atom.